1.
LiPrCd3: optimized geometry, PBE.

Summary:
Spin magnetization   0.00 μB per formula unit
Excess energy over the best structure of this formula in the dataset   0 meV/atom
Formation enthalpy at 0 K   -100 kJ/mol of formula units

Unit cell a=6.604 b=11.475 c=6.401 alpha=90.00 beta=90.00 gamma=90.00
Space group Cmcm (No. 63)
Symmetry-distinct sites (fractional):
Li  0.000  0.105  0.250 [4 per cell]
Pr  0.000  0.231  0.750 [4 per cell]
Cd  0.000  0.330  0.250 [4 per cell]
Cd  0.231  0.500  0.000 [8 per cell]

2.
LiPr6Cd: optimized geometry, PBE.

Summary:
Spin magnetization   0.00 μB per formula unit
Excess energy over the best structure of this formula in the dataset   0 meV/atom
Formation enthalpy at 0 K   -46 kJ/mol of formula units

Unit cell a=5.290 b=5.290 c=18.578 alpha=90.00 beta=90.00 gamma=90.00
Space group I4/mmm (No. 139)
Symmetry-distinct sites (fractional):
Li  0.000  0.000  0.000 [2 per cell]
Pr  0.000  0.000  0.249 [4 per cell]
Pr  0.000  0.500  0.112 [8 per cell]
Cd  0.000  0.000  0.500 [2 per cell]

3.
Li4PrCd8: optimized geometry, PBE.

Summary:
Spin magnetization   0.00 μB per formula unit
Formation enthalpy at 0 K   -321 kJ/mol of formula units

Unit cell a=10.064 b=10.064 c=5.297 alpha=90.00 beta=90.00 gamma=90.00
Space group I4/mmm (No. 139)
Symmetry-distinct sites (fractional):
Li  0.250  0.250  0.250 [8 per cell]
Pr  0.000  0.000  0.000 [2 per cell]
Cd  0.000  0.214  0.500 [8 per cell]
Cd  0.000  0.350  0.000 [8 per cell]